Record 1
DFT (PBE-GGA) results for a relaxed structure of ZnCoHPd2.

Cell lengths 3.982, 3.982, 3.677 Å; angles 90.00, 90.00, 90.00 degrees
Space group P4/mmm (No. 123)
Inequivalent atoms, fractional coordinates:
Zn 0.000 0.000 0.000
Co 0.500 0.500 0.000
H 0.500 0.500 0.500
Pd 0.000 0.500 0.500

Computed properties:
As for the density of states at the Fermi level: 6.63 states/eV/cell. The calculation puts the density at 9.63 g cm⁻³. The total energy is -4.559 eV per atom.

Record 2
DFT (PBE-GGA) results for a relaxed structure of Zr2CoHPd.

Cell lengths 4.573, 4.573, 3.456 Å; angles 90.00, 90.00, 90.00 degrees
Space group P4/mmm (No. 123)
Inequivalent atoms, fractional coordinates:
Zr 0.000 0.500 0.000
Co 0.000 0.000 0.500
H 0.000 0.000 0.000
Pd 0.500 0.500 0.500

Computed properties:
The calculation puts the energy above the lowest structure with this stoichiometry at 0.00 eV per formula unit. As for the density of states at the Fermi level: 5.21 states/eV/cell. The calculation puts the density at 8.01 g cm⁻³.